(1)
LiNbTlCo | PBE-GGA | relaxed

Unit cell a=4.513 b=4.513 c=4.513 alpha=60.00 beta=60.00 gamma=60.00
Atoms (fractional coordinates):
Li: 0.000 0.000 0.000
Nb: 0.500 0.500 0.500
Tl: 0.750 0.750 0.750
Co: 0.250 0.250 0.250

Results
E_tot	-5.06	eV/atom
SG	F-43m, No. 216

(2)
DyBiPO5 | PBE-GGA | relaxed

Unit cell a=5.728 b=6.466 c=6.844 alpha=99.83 beta=108.07 gamma=102.85
Atoms (fractional coordinates):
Dy: 0.142 0.102 0.288
Dy: 0.858 0.898 0.712
Bi: 0.410 0.705 0.966
Bi: 0.590 0.295 0.034
P: 0.231 0.680 0.413
P: 0.769 0.320 0.587
O: 0.042 0.805 0.456
O: 0.092 0.449 0.266
O: 0.203 0.105 0.973
O: 0.385 0.831 0.309
O: 0.432 0.671 0.621
O: 0.568 0.329 0.379
O: 0.615 0.169 0.691
O: 0.797 0.895 0.027
O: 0.908 0.551 0.734
O: 0.958 0.195 0.544

Results
E_tot	-7.27	eV/atom
SG	P-1, No. 2

(3)
NbNiSn2 | PBE-GGA | relaxed

Unit cell a=4.774 b=4.774 c=4.774 alpha=60.00 beta=60.00 gamma=60.00
Atoms (fractional coordinates):
Nb: 0.000 0.000 0.000
Ni: 0.250 0.250 0.250
Sn: 0.500 0.500 0.500
Sn: 0.750 0.750 0.750

Results
E_tot	-5.48	eV/atom
SG	F-43m, No. 216

(4)
RbAg3WS4 | PBE-GGA | relaxed

Unit cell a=6.344 b=6.344 c=6.344 alpha=90.00 beta=90.00 gamma=90.00
Atoms (fractional coordinates):
Rb: 0.000 0.000 0.000
Ag: 0.000 0.500 0.500
Ag: 0.500 0.000 0.500
Ag: 0.500 0.500 0.000
W: 0.500 0.500 0.500
S: 0.289 0.289 0.289
S: 0.289 0.711 0.711
S: 0.711 0.289 0.711
S: 0.711 0.711 0.289

Results
E_tot	-4.61	eV/atom
SG	P-43m, No. 215